Computed, not measured: a relaxed SbBrO crystal at the PBE-GGA level of DFT.

Structure (POSCAR):
```
SbBrO
1.0
11.999 0.000 0.000
0.000 8.450 0.052
0.000 2.149 9.486
Sb Br O
12 12 12
Cartesian
9.949 6.199 7.149
3.018 7.667 1.110
8.981 2.932 8.429
2.981 8.742 5.853
9.017 1.857 3.686
5.539 7.952 8.842
2.050 4.401 2.389
6.459 2.647 0.696
8.049 5.124 2.406
3.950 5.475 7.133
11.539 3.722 5.440
0.460 6.877 4.099
7.234 2.357 5.531
7.753 6.540 5.835
1.235 9.316 8.751
7.311 7.940 1.442
1.312 1.585 3.353
10.687 9.014 6.185
1.753 5.134 8.447
10.245 5.465 1.092
4.687 2.660 8.097
4.246 4.059 3.703
4.765 8.242 4.008
10.764 1.283 0.788
11.178 5.780 5.577
8.007 3.046 2.341
3.991 7.554 7.198
1.903 7.107 5.446
10.096 3.492 4.092
7.902 4.567 8.836
6.820 4.706 0.834
0.821 4.819 3.961
2.008 6.479 2.455
9.991 4.120 7.084
4.096 6.032 0.703
5.178 5.893 8.705
```

Results
As for the excess energy over the best structure of this formula in the dataset: 0.000 eV per atom. The value obtained for the formation energy (no corrections) is -1.036 eV/atom.